VASP calculation (PBE) on an optimized crystal structure of Ac4Pb6O19.

```
29
Lattice="7.869 0.000 -2.782 -3.935 6.815 -2.782 0.000 0.000 8.347" Properties=species:S:1:pos:R:3 pbc="T T T"
O 1.113 1.583 3.560
O 2.702 0.000 1.910
O 3.641 2.796 2.363
O 1.351 2.340 -1.910
O -2.584 4.475 3.654
O -0.207 5.232 -2.920
O 2.584 4.475 -3.654
O 5.168 0.000 3.654
O 0.700 4.378 2.645
O -0.493 4.020 -0.137
O 5.942 0.173 0.778
O 0.000 0.000 0.000
O 4.535 2.264 5.145
O 2.428 4.551 -0.221
O -1.208 2.437 5.343
O -1.221 6.643 2.561
O 3.628 1.755 -0.419
O 4.749 5.060 -2.004
O -1.351 2.340 1.910
Ac 1.223 2.119 0.865
Ac -2.711 4.696 -1.917
Ac 5.423 0.000 -1.917
Ac 0.000 0.000 5.752
Pb 3.257 1.174 3.741
Pb -1.290 4.582 1.824
Pb 0.678 5.641 -0.959
Pb 0.612 3.408 4.606
Pb 3.323 3.408 -1.824
Pb 5.224 2.233 0.959
```

Computed properties:
The value obtained for the density is 9.11 Mg/m³. As for the electronic total energy: -6.2179 eV/atom. The space group is I23, No. 197. Its formation energy (no corrections) is -47.43 eV per formula unit. Its total magnetic moment is 2.4 μB per cell.